(one)
# SrWNF2

An optimized crystal structure of SrWNF2 (PBE+U, Alexandria).

Lattice parameters (Å, degrees): 4.4334 4.4334 5.2925 90.00 90.00 90.00
Space group P4/mmm (No. 123)
One atom of each set of equivalent atoms:
Sr: 0.0000 0.0000 0.0000 x1
W: 0.5000 0.5000 0.5000 x1
N: 0.0000 0.0000 0.5000 x1
F: 0.0000 0.5000 0.0000 x2

=====

(two)
# SrWNF2

An optimized crystal structure of SrWNF2 (PBE+U, Alexandria).

Lattice parameters (Å, degrees): 4.2913 4.2913 4.3319 90.00 90.00 90.00
Space group P4/mmm (No. 123)
One atom of each set of equivalent atoms:
Sr: 0.0000 0.0000 0.0000 x1
W: 0.5000 0.5000 0.5000 x1
N: 0.5000 0.5000 0.0000 x1
F: 0.0000 0.5000 0.5000 x2

=====

Least stable = (one)